Ho12TmTh3: relaxed, PBE-GGA.

The structure in POSCAR format:
```
Ho12TmTh3
1.0
5.004 0.000 0.000
0.000 5.004 0.000
0.000 0.000 19.908
Ho Tm Th
12 1 3
direct
0.000 0.000 0.000
0.000 0.000 0.249
0.000 0.000 0.500
0.000 0.000 0.751
0.000 0.500 0.125
0.000 0.500 0.375
0.000 0.500 0.625
0.000 0.500 0.875
0.500 0.000 0.125
0.500 0.000 0.375
0.500 0.000 0.625
0.500 0.000 0.875
0.500 0.500 0.000
0.500 0.500 0.251
0.500 0.500 0.500
0.500 0.500 0.749
```

Properties
As for the volume: 31.16 A^3/atom. As for the total energy: -5.0690 eV/atom. Its symmetry is No. 123.